(1)
# Tb4CeHo10 PBE relaxed
# SG: I4/m, No. 87
# V: 37.11 Å³ per atom
data_Tb4CeHo10
_space_group_name_H-M_alt 'P 1'
_space_group_IT_number 1
_cell_length_a 7.638
_cell_length_b 9.353
_cell_length_c 9.353
_cell_angle_alpha 80.40
_cell_angle_beta 65.90
_cell_angle_gamma 65.90
loop_
_space_group_symop_operation_xyz
'x,y,z'
loop_
_atom_site_label
_atom_site_type_symbol
_atom_site_fract_x
_atom_site_fract_y
_atom_site_fract_z
_atom_site_occupancy
Ho1 Ho 0.250 0.500 0.500 1
Ho2 Ho 0.655 0.297 0.899 1
Ho3 Ho 0.851 0.703 0.101 1
Ho4 Ho 0.149 0.297 0.899 1
Ho5 Ho 0.750 0.500 0.500 1
Ho6 Ho 0.048 0.101 0.297 1
Ho7 Ho 0.345 0.703 0.101 1
Ho8 Ho 0.952 0.899 0.703 1
Ho9 Ho 0.554 0.101 0.297 1
Ho10 Ho 0.446 0.899 0.703 1
Tb1 Tb 0.798 0.601 0.803 1
Tb2 Tb 0.399 0.803 0.399 1
Tb3 Tb 0.601 0.197 0.601 1
Tb4 Tb 0.202 0.399 0.197 1
Ce1 Ce 0.000 0.000 0.000 1

(2)
# Rb2MnPS PBE relaxed
# SG: P4/mmm, No. 123
# V: 39.40 Å³ per atom
# formation energy from raw total energies: 0.199 eV/atom
# offset from the most stable computed form: 0.00 kJ/mol of atoms
data_Rb2MnPS
_space_group_name_H-M_alt 'P 1'
_space_group_IT_number 1
_cell_length_a 6.731
_cell_length_b 4.349
_cell_length_c 6.731
_cell_angle_alpha 90.00
_cell_angle_beta 90.00
_cell_angle_gamma 90.00
loop_
_space_group_symop_operation_xyz
'x,y,z'
loop_
_atom_site_label
_atom_site_type_symbol
_atom_site_fract_x
_atom_site_fract_y
_atom_site_fract_z
_atom_site_occupancy
Mn1 Mn 0.000 0.000 0.000 1
S1 S 0.000 0.500 0.000 1
Rb1 Rb 0.500 0.000 0.000 1
Rb2 Rb 0.000 0.000 0.500 1
P1 P 0.500 0.500 0.500 1

How do the records compare in energy? In the order shown, they have -58.75, -19.65 eV for the cell shown.